Record 1
Mg4CdPb3 | PBE | relaxed

Computed properties:
Relative energy among the computed polymorphs (meV/atom): 120
Energy of formation (eV per formula unit): 0.61
N(E_F) (states/eV per atom): 0.428
V (Å³ per cell): 433.5

abc: 10.0494 12.2527 3.5210
angles: 90.00 90.00 90.00
Sites, in units of the cell vectors:
Mg 0.0000 0.2459 0.0000
Mg 0.0000 0.7541 0.0000
Mg 0.2435 0.0000 0.5000
Mg 0.2565 0.5000 0.5000
Mg 0.5000 0.2541 0.0000
Mg 0.5000 0.7459 0.0000
Mg 0.7435 0.5000 0.5000
Mg 0.7565 0.0000 0.5000
Cd 0.0000 0.0000 0.0000
Cd 0.5000 0.5000 0.0000
Pb 0.0000 0.5000 0.0000
Pb 0.2500 0.2500 0.5000
Pb 0.2500 0.7500 0.5000
Pb 0.5000 0.0000 0.0000
Pb 0.7500 0.2500 0.5000
Pb 0.7500 0.7500 0.5000



Record 2
SeBr | PBE | relaxed

Computed properties:
Raw formation energy (eV/atom): 0.1404
N(E_F) (states/eV per atom): 0.845
V (Å³ per cell): 299.1

abc: 3.5675 9.2394 9.0742
angles: 90.00 90.00 90.00
Sites, in units of the cell vectors:
Se 0.0000 0.2500 0.0938
Se 0.0000 0.7500 0.9062
Se 0.5000 0.2500 0.9062
Se 0.5000 0.7500 0.0938
Br 0.0000 0.2500 0.6665
Br 0.0000 0.7500 0.3335
Br 0.5000 0.2500 0.3335
Br 0.5000 0.7500 0.6665



Record 3
SrCd2Pt | PBE | relaxed

Computed properties:
Energy of formation (eV per formula unit): -1.55
N(E_F) (states/eV per atom): 0.390
V (Å³ per cell): 196.8

abc: 3.6759 5.0957 10.5074
angles: 90.00 90.00 90.00
Sites, in units of the cell vectors:
Sr 0.0000 0.0000 0.0000
Sr 0.5000 0.5000 0.5000
Cd 0.0000 0.5000 0.2087
Cd 0.0000 0.5000 0.7913
Cd 0.5000 0.0000 0.2913
Cd 0.5000 0.0000 0.7087
Pt 0.0000 0.0000 0.5000
Pt 0.5000 0.5000 0.0000



Record 4
Na3Zn2In9 | PBE | relaxed

Computed properties:
Energy of formation (eV per formula unit): -0.73
N(E_F) (states/eV per atom): 0.380
V (Å³ per cell): 360.7

abc: 8.9394 8.9394 8.9394
angles: 147.36 106.38 82.88
Sites, in units of the cell vectors:
Na 0.0000 0.0000 0.0000
Na 0.2811 0.2811 0.0000
Na 0.7189 0.7189 0.0000
Zn 0.3615 0.5000 0.8615
Zn 0.6385 0.5000 0.1385
In 0.0143 0.3752 0.6391
In 0.1367 0.8494 0.2873
In 0.2639 0.6248 0.6391
In 0.4380 0.1506 0.2873
In 0.5000 0.0000 0.5000
In 0.5620 0.8494 0.7127
In 0.7361 0.3752 0.3609
In 0.8633 0.1506 0.7127
In 0.9857 0.6248 0.3609



What is the formula in the fourth record? Na3Zn2In9